(1)
Density functional theory data (PBE) for a geometry-optimized CaPrNdTm structure.

Unit cell a=5.839 b=5.839 c=5.839 alpha=60.00 beta=60.00 gamma=60.00
Fractional coordinates of all 4 atoms:
1 Ca 0.000 0.000 0.000
2 Pr 0.250 0.250 0.250
3 Nd 0.750 0.750 0.750
4 Tm 0.500 0.500 0.500

Results
The energy relative to the elements is 0.109 eV/atom. Its space-group type is F-43m (216). For the volume, the calculation gives 140.8 Å³/cell. The polymorph energy (0 for the lowest one) is 0.065 eV per atom.


(2)
Density functional theory data (PBE) for a geometry-optimized ZrPb2Br structure.

Unit cell a=6.045 b=6.045 c=6.045 alpha=136.02 beta=136.02 gamma=63.94
Fractional coordinates of all 4 atoms:
1 Zr 0.000 0.000 0.000
2 Pb 0.250 0.750 0.500
3 Pb 0.750 0.250 0.500
4 Br 0.500 0.500 0.000

Results
Its space-group type is I4/mmm (139). For the volume, the calculation gives 105.1 Å³/cell. The calculation puts the uncorrected formation energy at 0.04 eV/atom. The polymorph energy (0 for the lowest one) is 0.384 eV per atom.


(3)
Density functional theory data (PBE) for a geometry-optimized LiNpPbF6 structure.

Unit cell a=5.751 b=5.751 c=10.588 alpha=90.00 beta=90.00 gamma=120.00
Fractional coordinates of all 18 atoms:
1 Li 0.333 0.667 0.250
2 Li 0.667 0.333 0.750
3 Np 0.333 0.667 0.750
4 Np 0.667 0.333 0.250
5 Pb 0.000 0.000 0.000
6 Pb 0.000 0.000 0.500
7 F 0.024 0.364 0.139
8 F 0.024 0.660 0.361
9 F 0.340 0.364 0.361
10 F 0.340 0.976 0.139
11 F 0.364 0.024 0.639
12 F 0.364 0.340 0.861
13 F 0.636 0.660 0.139
14 F 0.636 0.976 0.361
15 F 0.660 0.024 0.861
16 F 0.660 0.636 0.639
17 F 0.976 0.340 0.639
18 F 0.976 0.636 0.861

Results
Its space-group type is P-31c (163). For the volume, the calculation gives 303.3 Å³/cell. The calculation puts the uncorrected formation energy at -2.92 eV/atom.